! AgW2Se | the Alexandria database | GGA-PBE | relaxed; values from VASP
! Magnetization in μB/cell: 0.00
! Space group: I-42d
&SYSTEM
  ibrav = 0, nat = 8, ntyp = 3
/
ATOMIC_SPECIES
W 183.84 W.upf
Ag 107.87 Ag.upf
Se 78.96 Se.upf
CELL_PARAMETERS angstrom
-3.373 1.016 -1.449
-0.728 -3.639 -0.856
-6.251 -2.563 7.747
ATOMIC_POSITIONS crystal
W 0.631 0.125 0.250
W 0.375 0.369 0.750
W 0.875 0.881 0.750
Ag 0.000 0.000 0.000
Se 0.250 0.750 0.500
Ag 0.750 0.250 0.500
W 0.119 0.625 0.250
Se 0.500 0.500 0.000



! AgW2Se4 | the Alexandria database | GGA-PBE | relaxed; values from VASP
! Magnetization in μB/cell: 4.75
! Space group: I4/mmm
&SYSTEM
  ibrav = 0, nat = 7, ntyp = 3
/
ATOMIC_SPECIES
Se 78.96 Se.upf
Ag 107.87 Ag.upf
W 183.84 W.upf
CELL_PARAMETERS angstrom
5.106 0.000 0.000
0.000 5.106 0.000
2.553 2.553 7.090
ATOMIC_POSITIONS crystal
Se 0.757 0.757 0.486
Se 0.000 0.500 0.000
Ag 0.000 0.000 0.000
W 0.405 0.405 0.190
W 0.595 0.595 0.810
Se 0.500 0.000 0.000
Se 0.243 0.243 0.514



One value per record, in order, for E: -7.157 -5.288 eV/atom.
One value per record, in order, for formation energy (no corrections): 3.6 5.7 eV per formula unit.
One value per record, in order, for theoretical density: 12.80 7.11 g/cm3.